(1)
# BeVAsSe2 (GGA-PBE, relaxed)
# **D(E_F)**: 1.721 states/eV/atom
# **E_tot**: -4.25 eV/atom
# **Spin magnetization**: 0.04 μB per formula unit
# **Uncorrected formation energy**: 62.4 kJ per mole of atoms
# **Calculated density**: 5.3 g cm⁻³
# **Symmetry**: P4/mmm (123)
data_BeVAsSe2
_space_group_name_H-M_alt 'P 1'
_space_group_IT_number 1
_space_group_name_Hall 'P 1'
_cell_length_a 4.6816
_cell_length_b 4.6816
_cell_length_c 4.1817
_cell_angle_alpha 90.00
_cell_angle_beta 90.00
_cell_angle_gamma 90.00
loop_
_atom_site_label
_atom_site_type_symbol
_atom_site_fract_x
_atom_site_fract_y
_atom_site_fract_z
Be1 Be 0.0000 0.0000 0.0000
As1 As 0.0000 0.0000 0.5000
Se1 Se 0.0000 0.5000 0.0000
Se2 Se 0.5000 0.0000 0.0000
V1 V 0.5000 0.5000 0.5000

(2)
# Ho4MgPd2 (GGA-PBE, relaxed)
# **D(E_F)**: 0.936 states/eV/atom
# **E_tot**: -4.72 eV/atom
# **Spin magnetization**: 0.00 μB per formula unit
# **Formation energy**: -0.3878 eV per atom
# **Calculated density**: 8.0 g cm⁻³
# **Symmetry**: R-3m (166)
data_Ho4MgPd2
_space_group_name_H-M_alt 'P 1'
_space_group_IT_number 1
_space_group_name_Hall 'P 1'
_cell_length_a 4.8796
_cell_length_b 4.8796
_cell_length_c 9.4688
_cell_angle_alpha 75.07
_cell_angle_beta 75.07
_cell_angle_gamma 60.00
loop_
_atom_site_label
_atom_site_type_symbol
_atom_site_fract_x
_atom_site_fract_y
_atom_site_fract_z
Ho1 Ho 0.7047 0.7047 0.8859
Ho2 Ho 0.8871 0.8871 0.3386
Ho3 Ho 0.2953 0.2953 0.1141
Ho4 Ho 0.1129 0.1129 0.6614
Mg1 Mg 0.5000 0.5000 0.5000
Pd1 Pd 0.5981 0.5981 0.2057
Pd2 Pd 0.4019 0.4019 0.7943

(3)
# MgBeV (GGA-PBE, relaxed)
# **D(E_F)**: 0.444 states/eV/atom
# **E_tot**: -4.51 eV/atom
# **Spin magnetization**: 0.00 μB per formula unit
# **Formation energy**: 0.3046 eV per atom
# **Calculated density**: 3.1 g cm⁻³
# **Symmetry**: P-1 (2)
data_MgBeV
_space_group_name_H-M_alt 'P 1'
_space_group_IT_number 1
_space_group_name_Hall 'P 1'
_cell_length_a 3.9945
_cell_length_b 4.8800
_cell_length_c 4.9784
_cell_angle_alpha 99.97
_cell_angle_beta 107.15
_cell_angle_gamma 94.91
loop_
_atom_site_label
_atom_site_type_symbol
_atom_site_fract_x
_atom_site_fract_y
_atom_site_fract_z
Be1 Be 0.2773 0.6085 0.5366
Be2 Be 0.7227 0.3915 0.4634
Mg1 Mg 0.5000 0.0000 0.0000
Mg2 Mg 0.0000 0.5000 0.0000
V1 V 0.8221 0.9109 0.5722
V2 V 0.1779 0.0891 0.4278

(4)
# Mg2HgI6 (GGA-PBE, relaxed)
# **D(E_F)**: 0.000 states/eV/atom
# **E_tot**: -2.18 eV/atom
# **Spin magnetization**: 0.00 μB per formula unit
# **Uncorrected formation energy**: -73.1 kJ per mole of atoms
# **Calculated density**: 3.8 g cm⁻³
# **Symmetry**: C2/c (15)
data_Mg2HgI6
_space_group_name_H-M_alt 'P 1'
_space_group_IT_number 1
_space_group_name_Hall 'P 1'
_cell_length_a 7.4917
_cell_length_b 11.4157
_cell_length_c 11.4157
_cell_angle_alpha 90.36
_cell_angle_beta 72.09
_cell_angle_gamma 72.09
loop_
_atom_site_label
_atom_site_type_symbol
_atom_site_fract_x
_atom_site_fract_y
_atom_site_fract_z
Mg1 Mg 0.1221 0.6552 0.8072
Mg2 Mg 0.3779 0.1928 0.3448
Mg3 Mg 0.8779 0.3448 0.1928
Mg4 Mg 0.6221 0.8072 0.6552
Hg1 Hg 0.2500 0.2255 0.7745
Hg2 Hg 0.7500 0.7745 0.2255
I1 I 0.2847 0.7845 0.6217
I2 I 0.2153 0.3783 0.2155
I3 I 0.7153 0.2155 0.3783
I4 I 0.7847 0.6217 0.7845
I5 I 0.8993 0.7905 0.4239
I6 I 0.6007 0.5761 0.2095
I7 I 0.1007 0.2095 0.5761
I8 I 0.3993 0.4239 0.7905
I9 I 0.0839 0.7867 0.0216
I10 I 0.4161 0.9784 0.2133
I11 I 0.9161 0.2133 0.9784
I12 I 0.5839 0.0216 0.7867

(5)
# Sr3BiPb (GGA-PBE, relaxed)
# **D(E_F)**: 1.119 states/eV/atom
# **E_tot**: -2.85 eV/atom
# **Spin magnetization**: 0.64 μB per formula unit
# **Formation energy**: -0.3271 eV per atom
# **Calculated density**: 4.5 g cm⁻³
# **Symmetry**: Pm-3m (221)
data_Sr3BiPb
_space_group_name_H-M_alt 'P 1'
_space_group_IT_number 1
_space_group_name_Hall 'P 1'
_cell_length_a 6.2878
_cell_length_b 6.2878
_cell_length_c 6.2878
_cell_angle_alpha 90.00
_cell_angle_beta 90.00
_cell_angle_gamma 90.00
loop_
_atom_site_label
_atom_site_type_symbol
_atom_site_fract_x
_atom_site_fract_y
_atom_site_fract_z
Pb1 Pb 0.5000 0.5000 0.5000
Sr1 Sr 0.0000 0.5000 0.0000
Sr2 Sr 0.0000 0.0000 0.5000
Sr3 Sr 0.5000 0.0000 0.0000
Bi1 Bi 0.0000 0.0000 0.0000

(6)
# AlAs2Pb (GGA-PBE, relaxed)
# **D(E_F)**: 0.378 states/eV/atom
# **E_tot**: -4.26 eV/atom
# **Spin magnetization**: 0.00 μB per formula unit
# **Formation energy**: -0.0711 eV per atom
# **Calculated density**: 6.9 g cm⁻³
# **Symmetry**: Cm (8)
data_AlAs2Pb
_space_group_name_H-M_alt 'P 1'
_space_group_IT_number 1
_space_group_name_Hall 'P 1'
_cell_length_a 3.8761
_cell_length_b 3.8761
_cell_length_c 7.4154
_cell_angle_alpha 74.87
_cell_angle_beta 74.87
_cell_angle_gamma 60.04
loop_
_atom_site_label
_atom_site_type_symbol
_atom_site_fract_x
_atom_site_fract_y
_atom_site_fract_z
Pb1 Pb 0.4980 0.4980 0.5048
As1 As 0.9358 0.9358 0.1923
As2 As 0.7349 0.7349 0.7977
Al1 Al 0.3313 0.3313 0.0052

(7)
# Ac4LaBi5 (GGA-PBE, relaxed)
# **D(E_F)**: 0.146 states/eV/atom
# **E_tot**: -5.09 eV/atom
# **Spin magnetization**: 0.00 μB per formula unit
# **Formation energy**: -1.0092 eV per atom
# **Calculated density**: 8.6 g cm⁻³
# **Symmetry**: I4/mmm (139)
data_Ac4LaBi5
_space_group_name_H-M_alt 'P 1'
_space_group_IT_number 1
_space_group_name_Hall 'P 1'
_cell_length_a 4.8510
_cell_length_b 4.8510
_cell_length_c 17.4680
_cell_angle_alpha 97.98
_cell_angle_beta 97.98
_cell_angle_gamma 90.00
loop_
_atom_site_label
_atom_site_type_symbol
_atom_site_fract_x
_atom_site_fract_y
_atom_site_fract_z
Ac1 Ac 0.4008 0.4008 0.8016
Ac2 Ac 0.8007 0.8007 0.6014
Ac3 Ac 0.1993 0.1993 0.3986
Ac4 Ac 0.5992 0.5992 0.1984
La1 La 0.0000 0.0000 0.0000
Bi1 Bi 0.0980 0.0980 0.1960
Bi2 Bi 0.5000 0.5000 0.0000
Bi3 Bi 0.9020 0.9020 0.8040
Bi4 Bi 0.3001 0.3001 0.6002
Bi5 Bi 0.6999 0.6999 0.3998

(8)
# TbYGaIr (GGA-PBE, relaxed)
# **D(E_F)**: 0.674 states/eV/atom
# **E_tot**: -6.49 eV/atom
# **Spin magnetization**: 0.00 μB per formula unit
# **Formation energy**: -0.7395 eV per atom
# **Calculated density**: 9.3 g cm⁻³
# **Symmetry**: Amm2 (38)
data_TbYGaIr
_space_group_name_H-M_alt 'P 1'
_space_group_IT_number 1
_space_group_name_Hall 'P 1'
_cell_length_a 3.9480
_cell_length_b 4.3467
_cell_length_c 5.6762
_cell_angle_alpha 90.00
_cell_angle_beta 110.35
_cell_angle_gamma 90.00
loop_
_atom_site_label
_atom_site_type_symbol
_atom_site_fract_x
_atom_site_fract_y
_atom_site_fract_z
Tb1 Tb 0.1417 0.0000 0.2833
Y1 Y 0.8594 0.5000 0.7187
Ga1 Ga 0.5696 0.5000 0.1393
Ir1 Ir 0.4294 0.0000 0.8587

(9)
# MgPC2Se (GGA-PBE, relaxed)
# **D(E_F)**: 0.730 states/eV/atom
# **E_tot**: -3.72 eV/atom
# **Spin magnetization**: 0.00 μB per formula unit
# **Uncorrected formation energy**: 199.9 kJ per mole of atoms
# **Calculated density**: 3.2 g cm⁻³
# **Symmetry**: P4/mmm (123)
data_MgPC2Se
_space_group_name_H-M_alt 'P 1'
_space_group_IT_number 1
_space_group_name_Hall 'P 1'
_cell_length_a 3.9475
_cell_length_b 5.2575
_cell_length_c 3.9475
_cell_angle_alpha 90.00
_cell_angle_beta 90.00
_cell_angle_gamma 90.00
loop_
_atom_site_label
_atom_site_type_symbol
_atom_site_fract_x
_atom_site_fract_y
_atom_site_fract_z
P1 P 0.5000 0.5000 0.5000
Mg1 Mg 0.0000 0.5000 0.0000
C1 C 0.0000 0.0000 0.5000
C2 C 0.5000 0.0000 0.0000
Se1 Se 0.0000 0.0000 0.0000

(10)
# La7Pm4Sm (GGA-PBE, relaxed)
# **D(E_F)**: 1.577 states/eV/atom
# **E_tot**: -4.84 eV/atom
# **Spin magnetization**: 0.00 μB per formula unit
# **Formation energy**: 0.0135 eV per atom
# **Calculated density**: 6.5 g cm⁻³
# **Symmetry**: P-1 (2)
data_La7Pm4Sm
_space_group_name_H-M_alt 'P 1'
_space_group_IT_number 1
_space_group_name_Hall 'P 1'
_cell_length_a 7.4597
_cell_length_b 6.4716
_cell_length_c 11.8387
_cell_angle_alpha 79.47
_cell_angle_beta 51.02
_cell_angle_gamma 89.98
loop_
_atom_site_label
_atom_site_type_symbol
_atom_site_fract_x
_atom_site_fract_y
_atom_site_fract_z
La1 La 0.7491 0.4996 0.0012
La2 La 0.2509 0.5004 0.9988
La3 La 0.0818 0.2792 0.6674
La4 La 0.9182 0.7208 0.3326
La5 La 0.3310 0.7781 0.6678
La6 La 0.5000 0.0000 0.0000
La7 La 0.6690 0.2219 0.3322
Pm1 Pm 0.4189 0.7244 0.3300
Pm2 Pm 0.5811 0.2756 0.6700
Pm3 Pm 0.8320 0.7772 0.6677
Pm4 Pm 0.1680 0.2228 0.3323
Sm1 Sm 0.0000 0.0000 0.0000

(11)
# Zr2ZnRe (GGA-PBE, relaxed)
# **D(E_F)**: 1.176 states/eV/atom
# **E_tot**: -7.51 eV/atom
# **Spin magnetization**: 0.00 μB per formula unit
# **Formation energy**: 0.1969 eV per atom
# **Calculated density**: 9.8 g cm⁻³
# **Symmetry**: P4mm (99)
data_Zr2ZnRe
_space_group_name_H-M_alt 'P 1'
_space_group_IT_number 1
_space_group_name_Hall 'P 1'
_cell_length_a 2.8686
_cell_length_b 2.8686
_cell_length_c 8.9708
_cell_angle_alpha 90.00
_cell_angle_beta 90.00
_cell_angle_gamma 90.00
loop_
_atom_site_label
_atom_site_type_symbol
_atom_site_fract_x
_atom_site_fract_y
_atom_site_fract_z
Re1 Re 0.0000 0.0000 0.5255
Zn1 Zn 0.5000 0.5000 0.7291
Zr1 Zr 0.0000 0.0000 0.9711
Zr2 Zr 0.5000 0.5000 0.2742

(12)
# TaTl2Cu2S6 (GGA-PBE, relaxed)
# **D(E_F)**: 0.548 states/eV/atom
# **E_tot**: -4.80 eV/atom
# **Spin magnetization**: 0.00 μB per formula unit
# **Uncorrected formation energy**: -28.6 kJ per mole of atoms
# **Calculated density**: 5.6 g cm⁻³
# **Symmetry**: R-3m (166)
data_TaTl2Cu2S6
_space_group_name_H-M_alt 'P 1'
_space_group_IT_number 1
_space_group_name_Hall 'P 1'
_cell_length_a 6.9653
_cell_length_b 6.9653
_cell_length_c 7.5646
_cell_angle_alpha 62.59
_cell_angle_beta 62.59
_cell_angle_gamma 60.00
loop_
_atom_site_label
_atom_site_type_symbol
_atom_site_fract_x
_atom_site_fract_y
_atom_site_fract_z
Ta1 Ta 0.0000 0.0000 0.0000
Tl1 Tl 0.7791 0.7791 0.6627
Tl2 Tl 0.2209 0.2209 0.3373
Cu1 Cu 0.4020 0.4020 0.7941
Cu2 Cu 0.5980 0.5980 0.2059
S1 S 0.7640 0.7640 0.2433
S2 S 0.2286 0.7640 0.2433
S3 S 0.7640 0.2286 0.2433
S4 S 0.2360 0.7714 0.7567
S5 S 0.7714 0.2360 0.7567
S6 S 0.2360 0.2360 0.7567